Record 1
VASP calculation (SCAN) on a PBEsol-optimized structure of RuAuBr2.

**E_tot**: -35.149 eV per atom
**V**: 20.24 A^3/atom
**N(E_F)**: 2.20 states/eV/cell

a = 2.876 Å, b = 2.876 Å, c = 11.426 Å
α = 82.77°, β = 82.77°, γ = 60.00°
Fractional coordinates of all 4 atoms:
Br: 0.069 0.069 0.792
Br: 0.931 0.931 0.208
Ru: 0.000 0.000 0.000
Au: 0.500 0.500 0.500


Record 2
VASP calculation (SCAN) on a PBEsol-optimized structure of RuAuBr2.

**E_tot**: -35.257 eV per atom
**V**: 19.89 A^3/atom
**N(E_F)**: 4.10 states/eV/cell

a = 3.171 Å, b = 3.171 Å, c = 8.096 Å
α = 90.00°, β = 90.00°, γ = 102.24°
Each line ends with the local moment (μB).
Fractional coordinates of all 4 atoms:
Br: 0.000 0.000 0.045  -0.04
Br: 0.500 0.500 0.678  0.13
Ru: 0.000 0.000 0.497  1.67
Au: 0.500 0.500 0.280  0.04


Record 3
VASP calculation (SCAN) on a PBEsol-optimized structure of RuAu2Br.

**E_tot**: -47.605 eV per atom
**V**: 17.56 A^3/atom
**N(E_F)**: 3.26 states/eV/cell

a = 2.968 Å, b = 2.968 Å, c = 7.973 Å
α = 90.00°, β = 90.00°, γ = 90.00°
Fractional coordinates of all 4 atoms:
Ru: 0.500 0.500 0.742
Br: 0.000 0.000 0.558
Au: 0.500 0.500 0.220
Au: 0.000 0.000 0.979


Record 4
VASP calculation (SCAN) on a PBEsol-optimized structure of Sb2AuBr.

**E_tot**: -41.046 eV per atom
**V**: 27.39 A^3/atom
**N(E_F)**: 1.39 states/eV/cell

a = 4.189 Å, b = 4.189 Å, c = 7.249 Å
α = 78.74°, β = 78.74°, γ = 62.20°
Fractional coordinates of all 4 atoms:
Sb: 0.689 0.689 0.322
Sb: 0.311 0.311 0.678
Br: 0.500 0.500 0.000
Au: 0.000 0.000 0.500